The following is a DFT calculation (PBE) of an optimized crystal structure of Pr2InCuSe5.

abc: 4.0912 9.0087 12.2031
angles: 90.00 90.00 103.12
Last column: nearest neighbours and their distance in Å.
Atoms (fractional coordinates):
Pr1 0.8804 0.7609 0.8021  8 Se 3.00-3.20
Pr2 0.1132 0.2264 0.6853  8 Se 3.06-3.19
Pr3 0.1196 0.2391 0.3021  8 Se 3.00-3.20
Pr4 0.8868 0.7736 0.1853  8 Se 3.06-3.19
In1 0.8097 0.6195 0.4994  6 Se 2.71-2.85
In2 0.1903 0.3805 0.9994  6 Se 2.71-2.85
Cu1 0.4972 0.9943 0.9861  4 Se 2.40-2.54
Cu2 0.5028 0.0057 0.4861  4 Se 2.40-2.54
Se1 0.3524 0.7047 0.9975  1 Cu 2.54, 1 In 2.84
Se2 0.7022 0.4045 0.8403  2 In 2.83, 1 Pr 3.16
Se3 0.5055 0.0109 0.7888  1 Cu 2.41
Se4 0.2892 0.5784 0.6598  2 In 2.85, 3 Pr 3.10-3.12
Se5 0.9573 0.9146 0.5647  2 Cu 2.40
Se6 0.6476 0.2953 0.4975  1 Cu 2.54, 1 In 2.84
Se7 0.2978 0.5955 0.3403  2 In 2.83, 1 Pr 3.16
Se8 0.4945 0.9891 0.2888  1 Cu 2.41
Se9 0.7108 0.4216 0.1598  2 In 2.85, 3 Pr 3.10-3.12
Se10 0.0427 0.0854 0.0647  2 Cu 2.40

* ρ: 6483 kg/m³
* size of the total moment: 0.00 μB/atom
* excess energy over the best structure of this formula in the dataset: 0.042 eV/atom
* space-group type: No. 36